(1)
VASP calculation (GGA-PBE) on crystalline NaLi5Ca4 at its relaxed geometry.

Unit cell a=3.9518 b=3.9518 c=19.6771 alpha=90.00 beta=90.00 gamma=90.00
Positions (direct):
1 Na 0.0000 0.0000 0.0000
2 Li 0.5000 0.5000 0.0906
3 Li 0.5000 0.5000 0.2965
4 Li 0.5000 0.5000 0.5000
5 Li 0.5000 0.5000 0.7035
6 Li 0.5000 0.5000 0.9094
7 Ca 0.0000 0.0000 0.1970
8 Ca 0.0000 0.0000 0.3985
9 Ca 0.0000 0.0000 0.6015
10 Ca 0.0000 0.0000 0.8030

- Formation energy from the elements: 26 kJ/mol of formula units
- Crystal system: tetragonal
- VASP energy: -18.620 eV for the cell shown
- Volume: 30.73 Å³ per atom

---

(2)
VASP calculation (GGA-PBE) on crystalline NaLiCa2 at its relaxed geometry.

Unit cell a=4.0234 b=4.0234 c=8.6319 alpha=90.00 beta=90.00 gamma=90.00
Positions (direct):
1 Na 0.5000 0.5000 0.5000
2 Ca 0.0000 0.0000 0.7798
3 Ca 0.0000 0.0000 0.2202
4 Li 0.5000 0.5000 0.0000

- Energy relative to the lowest polymorph listed for this composition: 0.0 kJ/mol of atoms
- Formation energy from the elements: 16 kJ/mol of formula units
- Crystal system: tetragonal
- VASP energy: -7.070 eV for the cell shown
- Volume: 34.93 Å³ per atom

---

(3)
VASP calculation (GGA-PBE) on crystalline Na2LiCa at its relaxed geometry.

Unit cell a=3.7598 b=3.7598 c=9.5501 alpha=90.00 beta=90.00 gamma=90.00
Positions (direct):
1 Na 0.0000 0.0000 0.7868
2 Na 0.0000 0.0000 0.2132
3 Ca 0.5000 0.5000 0.5000
4 Li 0.5000 0.5000 0.0000

- Energy relative to the lowest polymorph listed for this composition: 3.5 kJ/mol of atoms
- Formation energy from the elements: 30 kJ/mol of formula units
- Crystal system: tetragonal
- VASP energy: -6.238 eV for the cell shown
- Volume: 33.75 Å³ per atom

---

(4)
VASP calculation (GGA-PBE) on crystalline NaLi3Ca at its relaxed geometry.

Unit cell a=5.2809 b=5.2809 c=5.2809 alpha=90.00 beta=90.00 gamma=90.00
Positions (direct):
1 Na 0.0000 0.0000 0.0000
2 Ca 0.5000 0.5000 0.5000
3 Li 0.0000 0.5000 0.0000
4 Li 0.0000 0.0000 0.5000
5 Li 0.5000 0.0000 0.0000

- Energy relative to the lowest polymorph listed for this composition: 0.0 kJ/mol of atoms
- Formation energy from the elements: 122 kJ/mol of formula units
- Crystal system: cubic
- VASP energy: -7.801 eV for the cell shown
- Volume: 29.45 Å³ per atom

---

(5)
VASP calculation (GGA-PBE) on crystalline NaLi2Ca6 at its relaxed geometry.

Unit cell a=5.9434 b=6.9275 c=9.3619 alpha=82.25 beta=71.49 gamma=64.60
Positions (direct):
1 Na 0.0000 0.5000 0.5000
2 Li 0.0973 0.7682 0.0371
3 Li 0.9027 0.2318 0.9629
4 Ca 0.1994 0.9714 0.6298
5 Ca 0.3125 0.2277 0.1472
6 Ca 0.6875 0.7723 0.8528
7 Ca 0.4451 0.3759 0.7339
8 Ca 0.5549 0.6241 0.2661
9 Ca 0.8006 0.0286 0.3702

- Energy relative to the lowest polymorph listed for this composition: 0.0 kJ/mol of atoms
- Formation energy from the elements: 40 kJ/mol of formula units
- Crystal system: monoclinic
- VASP energy: -16.745 eV for the cell shown
- Volume: 36.69 Å³ per atom

---

(6)
VASP calculation (GGA-PBE) on crystalline NaLiCa at its relaxed geometry.

Unit cell a=3.9609 b=3.9609 c=6.8640 alpha=106.77 beta=106.77 gamma=90.00
Positions (direct):
1 Na 0.3127 0.3127 0.6255
2 Ca 0.0108 0.0108 0.0215
3 Li 0.6765 0.6765 0.3530

- Energy relative to the lowest polymorph listed for this composition: 0.0 kJ/mol of atoms
- Formation energy from the elements: 17 kJ/mol of formula units
- Crystal system: tetragonal
- VASP energy: -5.058 eV for the cell shown
- Volume: 32.77 Å³ per atom

---

(7)
VASP calculation (GGA-PBE) on crystalline NaLi6Ca at its relaxed geometry.

Unit cell a=5.3008 b=6.6526 c=6.6526 alpha=119.49 beta=90.00 gamma=90.00
Positions (direct):
1 Na 0.5000 0.4128 0.5872
2 Li 0.0000 0.0593 0.4001
3 Li 0.0000 0.5999 0.9407
4 Li 0.0000 0.5922 0.4078
5 Li 0.5000 0.4495 0.1037
6 Li 0.5000 0.8963 0.5505
7 Li 0.5000 0.9024 0.0976
8 Ca 0.0000 0.0871 0.9129

- Formation energy from the elements: 44 kJ/mol of formula units
- Crystal system: orthorhombic
- VASP energy: -14.351 eV for the cell shown
- Volume: 25.52 Å³ per atom

---

(8)
VASP calculation (GGA-PBE) on crystalline NaLiCa4 at its relaxed geometry.

Unit cell a=3.8417 b=8.2195 c=8.2194 alpha=91.61 beta=90.00 gamma=90.00
Positions (direct):
1 Na 0.0000 0.5000 0.5000
2 Li 0.5000 0.0000 0.0000
3 Ca 0.5000 0.2546 0.7454
4 Ca 0.0000 0.7848 0.7847
5 Ca 0.0000 0.2152 0.2153
6 Ca 0.5000 0.7454 0.2546

- Energy relative to the lowest polymorph listed for this composition: 26.7 kJ/mol of atoms
- Formation energy from the elements: 178 kJ/mol of formula units
- Crystal system: orthorhombic
- VASP energy: -9.392 eV for the cell shown
- Volume: 43.24 Å³ per atom